DFT (GGA-PBE) results for crystalline AgAsBr at its relaxed geometry.

The structure in extended XYZ format:
```
12
Lattice="6.778 0.000 0.000 0.000 6.778 0.000 0.000 0.000 6.778" Properties=species:S:1:pos:R:3 pbc="T T T"
Ag 0.000 0.000 0.000
Ag 0.000 3.389 3.389
Ag 3.389 0.000 3.389
Ag 3.389 3.389 0.000
As 1.695 1.695 1.695
As 1.695 5.084 5.084
As 5.084 1.695 5.084
As 5.084 5.084 1.695
Br 0.000 0.000 3.389
Br 0.000 3.389 0.000
Br 3.389 0.000 0.000
Br 3.389 3.389 3.389
```

Results
Distance to the lowest polymorph of the same formula   1.92 eV/f.u.
Formation energy from raw total energies   1.7 eV per formula unit
Spin magnetization   0.000 μB/atom